Record 1
Tm2Si6Ir9 | the Alexandria database | PBE-GGA | relaxed; energy relative to the elements, uncorrected = -0.68 eV per atom
1.0
5.580 0.000 0.000
-2.790 4.832 0.000
0.000 0.000 10.863
Tm Si Ir
2 6 9
direct
0.000 0.000 0.196
0.000 0.000 0.804
0.333 0.667 0.166
0.333 0.667 0.500
0.333 0.667 0.834
0.667 0.333 0.166
0.667 0.333 0.500
0.667 0.333 0.834
0.000 0.500 0.000
0.000 0.500 0.332
0.000 0.500 0.668
0.500 0.000 0.000
0.500 0.000 0.332
0.500 0.000 0.668
0.500 0.500 0.000
0.500 0.500 0.332
0.500 0.500 0.668

Record 2
VASP calculation (PBE-GGA) on a geometry-optimized Tb6Dy2Ag structure.

Geometry as POSCAR:
```
Tb6Dy2Ag
1.0
-1.779 5.108 7.597
1.779 -5.108 7.597
1.779 5.108 -7.597
Tb Dy Ag
6 2 1
direct
0.024 0.182 0.842
0.267 0.500 0.767
0.340 0.182 0.158
0.660 0.818 0.842
0.733 0.500 0.233
0.976 0.818 0.158
0.362 0.862 0.500
0.638 0.138 0.500
0.000 0.000 0.000
```

Record 3
CePr2Lu | the Alexandria database | PBE-GGA | relaxed; polymorph energy (0 for the lowest one) = 0 meV/atom
1.0
3.580 0.000 0.000
0.000 3.580 0.000
0.000 0.000 10.223
Ce Pr Lu
1 2 1
direct
0.000 0.000 0.000
0.500 0.500 0.248
0.500 0.500 0.752
0.000 0.000 0.500

Record 4
NaH3S | the Alexandria database | PBE-GGA | relaxed; polymorph energy (0 for the lowest one) = 720 meV/atom
1.0
3.745 0.000 0.000
0.000 3.745 0.000
0.000 0.000 3.745
Na H S
1 3 1
direct
0.000 0.000 0.000
0.000 0.500 0.500
0.500 0.000 0.500
0.500 0.500 0.000
0.500 0.500 0.500

Record 5
TlCr5Te8 | the Alexandria database | PBE-GGA | relaxed; energy relative to the elements, uncorrected = -0.22 eV per atom
1.0
10.302 -1.990 0.000
10.302 1.990 0.000
-2.429 0.000 9.257
Tl Cr Te
1 5 8
direct
0.000 0.000 0.000
0.185 0.185 0.477
0.233 0.233 0.827
0.530 0.530 0.499
0.825 0.825 0.171
0.871 0.871 0.517
0.103 0.103 0.661
0.290 0.290 0.342
0.358 0.358 0.007
0.444 0.444 0.675
0.614 0.614 0.318
0.701 0.701 0.990
0.767 0.767 0.651
0.956 0.956 0.338

Record 6
VASP calculation (PBE-GGA) on a geometry-optimized Pm4CdTc structure.

Geometry as POSCAR:
```
Pm4CdTc
1.0
4.452 -6.558 0.000
4.452 6.558 0.000
-1.927 0.000 6.084
Pm Cd Tc
8 2 2
direct
0.062 0.725 0.953
0.203 0.365 0.608
0.275 0.938 0.547
0.365 0.203 0.108
0.635 0.797 0.892
0.725 0.062 0.453
0.797 0.635 0.392
0.938 0.275 0.047
0.376 0.624 0.250
0.624 0.376 0.750
0.000 0.000 0.250
0.000 0.000 0.750
```

Record 7
VASP calculation (PBE-GGA) on a geometry-optimized LuVOsRu structure.

Geometry as POSCAR:
```
LuVOsRu
1.0
0.000 3.167 3.167
3.167 0.000 3.167
3.167 3.167 0.000
Lu V Os Ru
1 1 1 1
direct
0.000 0.000 0.000
0.500 0.500 0.500
0.750 0.750 0.750
0.250 0.250 0.250
```

Record 8
Dy4AgPd | the Alexandria database | PBE-GGA | relaxed; polymorph energy (0 for the lowest one) = 0 meV/atom
1.0
0.000 6.775 6.775
6.775 0.000 6.775
6.775 6.775 0.000
Dy Ag Pd
16 4 4
direct
0.062 0.062 0.438
0.062 0.438 0.062
0.062 0.438 0.438
0.176 0.608 0.608
0.184 0.184 0.816
0.184 0.816 0.184
0.184 0.816 0.816
0.438 0.062 0.062
0.438 0.062 0.438
0.438 0.438 0.062
0.608 0.176 0.608
0.608 0.608 0.176
0.608 0.608 0.608
0.816 0.184 0.184
0.816 0.184 0.816
0.816 0.816 0.184
0.497 0.834 0.834
0.834 0.497 0.834
0.834 0.834 0.497
0.834 0.834 0.834
0.396 0.396 0.396
0.396 0.396 0.811
0.396 0.811 0.396
0.811 0.396 0.396

Record 9
Er4Tm3Th | the Alexandria database | PBE-GGA | relaxed; polymorph energy (0 for the lowest one) = 165 meV/atom
1.0
11.574 -1.710 0.000
11.574 1.710 0.000
-1.886 0.000 6.334
Er Tm Th
4 3 1
direct
0.124 0.124 0.382
0.259 0.259 0.259
0.741 0.741 0.741
0.876 0.876 0.618
0.000 0.000 0.000
0.125 0.125 0.865
0.875 0.875 0.135
0.500 0.500 0.500

Record 10
NaInTeN2 | the Alexandria database | PBE-GGA | relaxed; energy relative to the elements, uncorrected = 1.62 eV per atom; polymorph energy (0 for the lowest one) = 553 meV/atom
1.0
4.702 0.000 0.000
0.000 4.702 0.000
0.000 0.000 6.299
Na In Te N
1 1 1 2
direct
0.000 0.000 0.000
0.500 0.500 0.500
0.000 0.000 0.500
0.000 0.500 0.000
0.500 0.000 0.000

Record 11
VASP calculation (PBE-GGA) on a geometry-optimized Tb2Ag5Hg3 structure.

Geometry as POSCAR:
```
Tb2Ag5Hg3
1.0
-5.789 6.779 2.899
5.789 -6.779 2.899
5.789 6.779 -2.899
Tb Ag Hg
4 10 6
direct
0.243 0.125 0.368
0.257 0.625 0.881
0.743 0.375 0.119
0.757 0.875 0.632
0.147 0.866 0.013
0.250 0.504 0.254
0.250 0.750 0.500
0.250 0.996 0.746
0.353 0.366 0.718
0.647 0.634 0.282
0.750 0.004 0.254
0.750 0.250 0.500
0.750 0.496 0.746
0.853 0.134 0.987
0.150 0.378 0.528
0.250 0.250 0.000
0.350 0.878 0.228
0.650 0.122 0.772
0.750 0.750 0.000
0.850 0.622 0.472
```

Record 12
MnZn2Cr | the Alexandria database | PBE-GGA | relaxed; polymorph energy (0 for the lowest one) = 48 meV/atom
1.0
-2.009 2.009 3.416
2.009 -2.009 3.416
2.009 2.009 -3.416
Mn Zn Cr
1 2 1
direct
0.000 0.000 0.000
0.250 0.750 0.500
0.500 0.500 0.000
0.750 0.250 0.500

| no. | VASP energy (eV/atom) |
| --- | --- |
| 1 | -7.81 |
| 2 | -4.37 |
| 3 | -4.93 |
| 4 | -2.79 |
| 5 | -5.62 |
| 6 | -5.17 |
| 7 | -8.78 |
| 8 | -4.84 |
| 9 | -4.71 |
| 10 | -3.15 |
| 11 | -2.56 |
| 12 | -5.22 |